No. 1
This record from the Alexandria database describes a crystal of Re2BrCl relaxed with PBEsol. The functional is SCAN.

Results
energy above the most stable polymorph in this dataset: 1115 meV per atom
E_tot: -41.32 eV/atom
DOS at the Fermi energy: 0.73 states/eV/atom

Cell: 3.7139 4.3300 4.8324 Å, 90.00 94.29 90.00°
Last column: nearest neighbours and their distance in Å.
Element x y z (fractional)
Re: 0.7164 0.0000 0.8424  2 Re 2.30-2.51, 2 Cl 2.50
Re: 0.2836 0.0000 0.1577  2 Re 2.30-2.51, 2 Cl 2.50
Br: 0.5000 0.5000 0.5000  4 Re 2.81, 2 Cl 2.94
Cl: 0.0000 0.5000 0.0000  4 Re 2.50

=====

No. 2
This record from the Alexandria database describes a crystal of Re2BrCl relaxed with PBEsol. The functional is SCAN.

Results
energy above the most stable polymorph in this dataset: 2023 meV per atom
E_tot: -40.42 eV/atom
DOS at the Fermi energy: 0.81 states/eV/atom

Cell: 3.0915 3.0915 6.2322 Å, 90.00 90.00 90.00°
Last column: nearest neighbours and their distance in Å.
Element x y z (fractional)
Re: 0.0000 0.0000 0.7286  4 Cl 2.61, 4 Br 2.76, 1 Re 2.85
Re: 0.0000 0.0000 0.2714  4 Cl 2.61, 4 Br 2.76, 1 Re 2.85
Br: 0.5000 0.5000 0.0000  8 Re 2.76, 4 Br 3.09
Cl: 0.5000 0.5000 0.5000  8 Re 2.61

=====

No. 3
This record from the Alexandria database describes a crystal of ReBr3Cl relaxed with PBEsol. The functional is SCAN.

Results
E_tot: -27.10 eV/atom
DOS at the Fermi energy: 0.98 states/eV/atom

Cell: 4.9283 4.9283 4.9283 Å, 90.00 90.00 90.00°
Last column: nearest neighbours and their distance in Å.
Element x y z (fractional)
Re: 0.0000 0.0000 0.0000  6 Br 2.46
Br: 0.0000 0.5000 0.0000  2 Re 2.46
Br: 0.0000 0.0000 0.5000  2 Re 2.46
Br: 0.5000 0.0000 0.0000  2 Re 2.46
Cl: 0.5000 0.5000 0.5000  12 Br 3.48

=====

No. 4
This record from the Alexandria database describes a crystal of Re2BrCl relaxed with PBEsol. The functional is SCAN.

Results
energy above the most stable polymorph in this dataset: 360 meV per atom
E_tot: -42.08 eV/atom
DOS at the Fermi energy: 0.82 states/eV/atom

Cell: 2.9392 2.9392 8.4352 Å, 90.00 90.00 90.00°
Last column: nearest neighbours and their distance in Å.
Element x y z (fractional)
Re: 0.0000 0.0000 0.0249  8 Re 2.63-2.94, 4 Cl 2.69
Re: 0.5000 0.5000 0.2169  8 Re 2.63-2.94, 4 Br 2.78
Br: 0.0000 0.0000 0.4363  4 Re 2.78, 4 Br 2.94
Cl: 0.5000 0.5000 0.8219  4 Re 2.69, 4 Cl 2.94

=====

No. 5
This record from the Alexandria database describes a crystal of Re2BrCl relaxed with PBEsol. The functional is SCAN.

Results
energy above the most stable polymorph in this dataset: 1495 meV per atom
E_tot: -40.94 eV/atom
DOS at the Fermi energy: 0.85 states/eV/atom

Cell: 2.7997 2.9521 8.8643 Å, 90.00 90.00 118.31°
Last column: nearest neighbours and their distance in Å.
Element x y z (fractional)
Re: 0.0000 0.0000 0.7575  2 Cl 2.57, 2 Br 2.68, 2 Re 2.80
Re: 0.0000 0.0000 0.2425  2 Cl 2.57, 2 Br 2.68, 2 Re 2.80
Br: 0.5000 0.0000 0.5000  4 Re 2.68, 6 Br 2.80-2.95
Cl: 0.5000 0.0000 0.0000  4 Re 2.57, 2 Cl 2.80

=====

No. 6
This record from the Alexandria database describes a crystal of ReSe2BrCl relaxed with PBEsol. The functional is SCAN.

Results
E_tot: -27.38 eV/atom
DOS at the Fermi energy: 0.70 states/eV/atom

Cell: 4.7558 4.7558 5.0750 Å, 90.00 90.00 90.00°
Last column: nearest neighbours and their distance in Å.
Element x y z (fractional)
Re: 0.0000 0.0000 0.0000  4 Se 2.38, 2 Br 2.54
Se: 0.0000 0.5000 0.0000  2 Re 2.38
Se: 0.5000 0.0000 0.0000  2 Re 2.38
Br: 0.0000 0.0000 0.5000  2 Re 2.54
Cl: 0.5000 0.5000 0.5000  4 Br 3.36, 8 Se 3.48